## FeRh2Pb (PBE)

Data for a geometry-optimized FeRh2Pb structure.

Computed properties:
E_tot, eV/atom: -6.47
Theoretical density, g cm⁻³: 11.8

a = 4.5835 Å, b = 3.0638 Å, c = 5.0065 Å
α = 90.00°, β = 110.39°, γ = 90.00°
Last column: nearest neighbours and their distance in Å.
Atoms (fractional coordinates):
Fe  0.0000  0.0000  0.0000  6 Rh 2.74-2.76, 4 Pb 2.93, 2 Fe 3.06
Rh  0.5000  0.0000  0.5000  2 Fe 2.74, 4 Pb 2.76, 6 Rh 2.93-3.06
Rh  0.5000  0.5000  0.0000  2 Pb 2.74, 4 Fe 2.76, 6 Rh 2.93-3.06
Pb  0.0000  0.5000  0.5000  6 Rh 2.74-2.76, 4 Fe 2.93, 2 Pb 3.06